Below is a relaxed Ba2Ca crystal, with properties calculated at the PBE level.

The structure in POSCAR format:
```
Ba2Ca
1.0
12.602 0.000 0.000
6.301 10.914 0.000
6.301 3.638 10.290
Ca Ba
8 16
Direct
0.294 0.294 0.118
0.618 0.294 0.794
0.382 0.706 0.206
0.294 0.618 0.794
0.706 0.382 0.206
0.294 0.294 0.794
0.706 0.706 0.882
0.706 0.706 0.206
0.068 0.068 0.182
0.932 0.318 0.818
0.500 0.500 0.000
0.682 0.068 0.568
0.500 0.000 0.000
0.000 0.500 0.000
0.318 0.932 0.432
0.932 0.932 0.818
0.068 0.682 0.568
0.500 0.500 0.500
0.318 0.932 0.818
0.068 0.682 0.182
0.932 0.318 0.432
0.682 0.682 0.568
0.318 0.318 0.432
0.682 0.068 0.182
```

Results
Its space-group type is No. 227. The value obtained for the energy of formation is 0.057 eV per atom. Its calculated volume is 1415.2 Å³/cell.

=====

Below is a relaxed BaCa5 crystal, with properties calculated at the PBE level.

The structure in POSCAR format:
```
BaCa5
1.0
-2.192 1.016 -6.458
6.124 -2.958 1.137
-2.869 -5.924 0.042
Ca Ba
5 1
Direct
0.990 0.000 0.000
0.677 0.344 0.000
0.667 0.667 0.500
0.333 0.656 0.000
0.000 0.333 0.500
0.333 0.000 0.500
```

Results
Its space-group type is No. 189. The value obtained for the energy of formation is 0.022 eV per atom. Its calculated volume is 271.0 Å³/cell.

=====

Below is a relaxed Ba2Ca crystal, with properties calculated at the PBE level.

The structure in POSCAR format:
```
Ba2Ca
1.0
-4.249 -0.339 -0.359
2.511 -3.270 -1.141
-0.524 -3.832 9.828
Ba Ca
2 1
Direct
0.667 0.333 0.679
0.333 0.667 0.321
0.000 0.000 0.000
```

Results
Its space-group type is No. 164. The value obtained for the energy of formation is 0.051 eV per atom. Its calculated volume is 167.4 Å³/cell.

=====

Below is a relaxed BaCa5 crystal, with properties calculated at the PBE level.

The structure in POSCAR format:
```
BaCa5
1.0
7.739 0.017 -0.012
6.715 3.846 -0.012
2.470 0.660 9.163
Ca Ba
5 1
Direct
0.385 0.385 0.714
0.727 0.727 0.057
0.056 0.056 0.393
0.669 0.669 0.659
0.329 0.329 0.343
0.000 0.000 0.001
```

Results
Its space-group type is No. 8. The value obtained for the energy of formation is 0.028 eV per atom. Its calculated volume is 271.8 Å³/cell.